Entry from Alexandria via LeMat-Bulk: an optimized crystal structure of ZrBeIr (GGA-PBEsol).

- Total magnetization: 0.00 μB per formula unit
- Polymorph energy (0 for the lowest one): 0.039 eV/atom
- DFT formation energy: -538.3 meV/atom

Cell: 5.291 5.291 5.291 Å, 147.38 147.38 46.80°
Element x y z (fractional)
Zr 0.000 0.000 0.000
Be 0.698 0.698 0.000
Ir 0.301 0.301 0.000